(1)
Entry from Alexandria: YCoOs2 after structural relaxation (PBEsol).

Cell: 2.856 2.856 7.493 Å, 90.00 90.00 90.00°
Atoms (fractional coordinates):
Y 0.500 0.500 0.000
Os 0.000 0.000 0.304
Co 0.500 0.500 0.500
Os 0.000 0.000 0.696

Properties
Space-group type ... P4/mmm
Calculated total energy ... -9.446 eV per atom


(2)
Entry from Alexandria: YCoOs2 after structural relaxation (PBEsol).

Cell: 2.797 3.745 6.032 Å, 90.00 90.00 90.00°
Site moments in Bohr magnetons follow the coordinates.
Atoms (fractional coordinates):
Co 0.500 0.500 0.789  0.83
Os 0.500 0.500 0.194  0.02
Os 0.000 0.000 0.004  0.09
Y 0.000 0.000 0.513  -0.06

Properties
Space-group type ... Pmm2
Calculated total energy ... -9.506 eV per atom


(3)
Entry from Alexandria: ZnCoOs2 after structural relaxation (PBEsol).

Cell: 2.633 2.633 8.669 Å, 90.00 90.00 117.41°
Site moments in Bohr magnetons follow the coordinates.
Atoms (fractional coordinates):
Zn 0.000 0.000 0.487  -0.01
Os 0.000 0.000 0.012  0.28
Os 0.500 0.500 0.749  0.12
Co 0.500 0.500 0.252  1.39

Properties
Space-group type ... Cmm2
Calculated total energy ... -8.012 eV per atom


(4)
Entry from Alexandria: Zr2CoOs after structural relaxation (PBEsol).

Cell: 4.534 4.534 4.534 Å, 60.00 60.00 60.00°
Site moments in Bohr magnetons follow the coordinates.
Atoms (fractional coordinates):
Zr 0.250 0.250 0.250  -0.03
Co 0.000 0.000 0.000  0.10
Zr 0.750 0.750 0.750  -0.03
Os 0.500 0.500 0.500  1.00

Properties
Space-group type ... Fm-3m
Calculated total energy ... -9.958 eV per atom


(5)
Entry from Alexandria: ZrCo2Os after structural relaxation (PBEsol).

Cell: 2.994 3.256 5.646 Å, 90.00 90.00 90.00°
Site moments in Bohr magnetons follow the coordinates.
Atoms (fractional coordinates):
Zr 0.500 0.500 0.768  -0.08
Co 0.500 0.500 0.252  1.02
Co 0.000 0.000 0.025  0.61
Os 0.000 0.000 0.455  0.19

Properties
Space-group type ... Pmm2
Calculated total energy ... -9.157 eV per atom


(6)
Entry from Alexandria: Zr2CoOs after structural relaxation (PBEsol).

Cell: 3.308 4.289 5.365 Å, 113.56 107.96 90.00°
Atoms (fractional coordinates):
Os 0.252 0.752 0.504
Zr 0.757 0.257 0.514
Co 0.496 0.496 0.992
Zr 0.995 0.995 0.989

Properties
Space-group type ... Imm2
Calculated total energy ... -9.696 eV per atom


(7)
Entry from Alexandria: ZrCoOs after structural relaxation (PBEsol).

Cell: 2.687 3.593 5.213 Å, 110.16 104.93 90.00°
Atoms (fractional coordinates):
Zr 0.334 0.334 0.668
Co 0.031 0.031 0.061
Os 0.636 0.636 0.271

Properties
Space-group type ... Imm2
Calculated total energy ... -9.672 eV per atom


(8)
Entry from Alexandria: ZrCo2Os after structural relaxation (PBEsol).

Cell: 3.753 3.753 4.659 Å, 113.75 113.75 90.00°
Site moments in Bohr magnetons follow the coordinates.
Atoms (fractional coordinates):
Co 0.750 0.250 0.500  0.37
Co 0.000 0.000 0.000  0.27
Zr 0.250 0.750 0.500  -0.01
Os 0.500 0.500 0.000  0.14

Properties
Space-group type ... I-4m2
Calculated total energy ... -9.159 eV per atom